Here is crystalline Na2NbTlO4 at its relaxed geometry from Alexandria via LeMat-Bulk. Energies are from PBE-GGA.

Cell and atoms, written as POSCAR:
```
Na2NbTlO4
1.0
-2.964 2.964 3.979
2.964 -2.964 3.979
2.964 2.964 -3.979
Na Nb Tl O
2 1 1 4
Direct
0.250 0.750 0.500
0.750 0.250 0.500
0.000 0.000 0.000
0.500 0.500 0.000
0.050 0.050 0.370
0.320 0.950 0.000
0.680 0.680 0.630
0.950 0.320 0.000
```

Computed properties:
Its formation energy without anion corrections is -1947.7 meV/atom. The spin magnetization is 0.00 μB/f.u.

Here is crystalline YPa2PbO8 at its relaxed geometry from Alexandria via LeMat-Bulk. Energies are from PBE-GGA.

Cell and atoms, written as POSCAR:
```
YPa2PbO8
1.0
-2.731 2.731 5.433
2.731 -2.731 5.433
2.731 2.731 -5.433
Y Pa Pb O
1 2 1 8
Direct
0.000 0.000 0.000
0.250 0.750 0.500
0.500 0.500 0.000
0.750 0.250 0.500
0.143 0.122 0.511
0.143 0.632 0.021
0.368 0.389 0.511
0.368 0.857 0.979
0.611 0.122 0.979
0.611 0.632 0.489
0.878 0.389 0.021
0.878 0.857 0.489
```

Computed properties:
Its formation energy without anion corrections is -3072.7 meV/atom. The spin magnetization is 0.00 μB/f.u.

Here is crystalline Ac2Nd at its relaxed geometry from Alexandria via LeMat-Bulk. Energies are from PBE-GGA.

Cell and atoms, written as POSCAR:
```
Ac2Nd
1.0
6.695 -3.889 0.000
6.695 3.889 0.000
-0.003 0.000 9.575
Ac Nd
8 4
Direct
0.000 0.000 0.000
0.165 0.664 0.335
0.167 0.167 0.330
0.336 0.835 0.665
0.500 0.500 0.000
0.664 0.165 0.335
0.833 0.833 0.670
0.835 0.336 0.665
0.000 0.500 0.000
0.334 0.334 0.674
0.500 0.000 0.000
0.666 0.666 0.326
```

Computed properties:
The formation energy comes out at 0.09 eV per formula unit. The spin magnetization is 0.00 μB/f.u.

Here is crystalline HfBi2ICl at its relaxed geometry from Alexandria via LeMat-Bulk. Energies are from PBE-GGA.

Cell and atoms, written as POSCAR:
```
HfBi2ICl
1.0
5.964 0.000 0.000
0.000 5.964 0.000
0.000 0.000 5.076
Hf Bi I Cl
1 2 1 1
Direct
0.000 0.000 0.000
0.000 0.500 0.500
0.500 0.000 0.500
0.500 0.500 0.500
0.500 0.500 0.000
```

Computed properties:
Its formation energy without anion corrections is 1051.6 meV/atom. The spin magnetization is 0.02 μB/f.u.

Here is crystalline Hg3Pt2 at its relaxed geometry from Alexandria via LeMat-Bulk. Energies are from PBE-GGA.

Cell and atoms, written as POSCAR:
```
Hg3Pt2
1.0
4.703 0.000 0.000
-2.351 4.073 0.000
0.000 0.000 5.530
Hg Pt
3 2
Direct
0.000 0.000 0.000
0.333 0.667 0.368
0.667 0.333 0.632
0.333 0.667 0.867
0.667 0.333 0.133
```

Computed properties:
The formation energy comes out at 0.15 eV per formula unit. The spin magnetization is 0.00 μB/f.u.

Here is crystalline MgTl12Te7 at its relaxed geometry from Alexandria via LeMat-Bulk. Energies are from PBE-GGA.

Cell and atoms, written as POSCAR:
```
MgTl12Te7
1.0
7.976 4.605 3.570
-7.976 4.605 3.570
0.000 -9.209 3.570
Mg Tl Te
1 12 7
Direct
0.000 0.000 0.000
0.003 0.660 0.241
0.149 0.419 0.454
0.241 0.003 0.660
0.340 0.759 0.997
0.419 0.454 0.149
0.454 0.149 0.419
0.546 0.851 0.581
0.581 0.546 0.851
0.660 0.241 0.003
0.759 0.997 0.340
0.851 0.581 0.546
0.997 0.340 0.759
0.056 0.337 0.086
0.086 0.056 0.337
0.337 0.086 0.056
0.500 0.500 0.500
0.663 0.914 0.944
0.914 0.944 0.663
0.944 0.663 0.914
```

Computed properties:
Its formation energy without anion corrections is -257.4 meV/atom. The spin magnetization is 0.00 μB/f.u.